# 1
{
  "formula": "SmP3Rh6",
  "functional": "PBE",
  "state": "optimized geometry",
  "final_energy_ev_per_cell": -72.73,
  "e_form_ev_per_atom": -0.767,
  "dos_at_fermi_per_ev_atom": 0.44,
  "lattice": [[5.358, 0.247, -2.126], [-3.169, 4.652, 0.083], [0.598, 0.522, 5.718]],
  "species": ["Sm", "P", "P", "P", "Rh", "Rh", "Rh", "Rh", "Rh", "Rh"],
  "fractional_positions": [[0.940, 0.972, 0.843], [0.664, 0.326, 0.979], [0.329, 0.674, 0.984], [0.123, 0.061, 0.361], [0.381, 0.440, 0.688], [0.081, 0.628, 0.247], [0.690, 0.038, 0.277], [0.402, 0.957, 0.683], [0.900, 0.465, 0.691], [0.490, 0.439, 0.247]]
}

***

# 2
{
  "formula": "DySiRh",
  "functional": "PBE",
  "state": "optimized geometry",
  "final_energy_ev_per_cell": -118.20,
  "dos_at_fermi_per_ev_atom": 0.40,
  "e_form_raw_ev_per_atom": -0.77,
  "lattice": [[-1.174, -2.650, 4.672], [2.942, -4.403, 1.476], [8.369, 4.875, 8.102]],
  "species": ["Dy", "Dy", "Dy", "Dy", "Dy", "Dy", "Rh", "Rh", "Rh", "Rh", "Rh", "Rh", "Si", "Si", "Si", "Si", "Si", "Si"],
  "fractional_positions": [[0.737, 0.737, 0.790], [0.263, 0.263, 0.210], [0.044, 0.044, 0.867], [0.956, 0.956, 0.133], [0.181, 0.181, 0.458], [0.819, 0.819, 0.542], [0.217, 0.723, 0.337], [0.723, 0.217, 0.337], [0.723, 0.723, 0.337], [0.783, 0.277, 0.663], [0.277, 0.783, 0.663], [0.277, 0.277, 0.663], [0.396, 0.396, 0.812], [0.604, 0.604, 0.188], [0.000, 0.500, 0.000], [0.500, 0.000, 0.000], [0.500, 0.500, 0.000], [0.500, 0.500, 0.500]]
}

***

# 3
{
  "formula": "Hg3Te2IBr",
  "functional": "PBE",
  "state": "optimized geometry",
  "final_energy_ev_per_cell": -49.58,
  "e_form_raw_ev_per_atom": -0.28,
  "lattice": [[-7.959, -2.153, -7.008], [-9.753, -3.329, 3.301], [-3.155, 10.173, 0.612]],
  "species": ["I", "I", "I", "I", "Te", "Te", "Te", "Te", "Te", "Te", "Te", "Te", "Hg", "Hg", "Hg", "Hg", "Hg", "Hg", "Hg", "Hg", "Hg", "Hg", "Hg", "Hg", "Br", "Br", "Br", "Br"],
  "fractional_positions": [[0.130, 0.119, 0.517], [0.881, 0.870, 0.483], [0.138, 0.118, 0.990], [0.882, 0.862, 0.010], [0.994, 0.468, 0.236], [0.532, 0.006, 0.764], [0.759, 0.265, 0.249], [0.735, 0.241, 0.751], [0.023, 0.517, 0.742], [0.483, 0.977, 0.258], [0.244, 0.728, 0.754], [0.272, 0.756, 0.246], [0.795, 0.205, 0.500], [0.232, 0.768, 0.500], [0.036, 0.465, 0.490], [0.535, 0.964, 0.510], [0.755, 0.742, 0.210], [0.258, 0.245, 0.790], [0.996, 0.992, 0.198], [0.008, 0.004, 0.802], [0.817, 0.442, 0.769], [0.558, 0.183, 0.231], [0.191, 0.556, 0.211], [0.444, 0.809, 0.789], [0.627, 0.638, 0.556], [0.362, 0.373, 0.444], [0.642, 0.619, 0.978], [0.381, 0.358, 0.022]]
}

***

# 4
{
  "formula": "LaSi2H",
  "functional": "PBE",
  "state": "optimized geometry",
  "final_energy_ev_per_cell": -38.02,
  "dos_at_fermi_per_ev_atom": 0.43,
  "lattice": [[5.678, 0.000, 0.000], [0.000, 5.678, 0.000], [2.839, 2.839, 4.143]],
  "species": ["H", "H", "Si", "Si", "Si", "Si", "La", "La"],
  "fractional_positions": [[0.500, 0.500, 0.000], [0.250, 0.750, 0.500], [0.375, 0.125, 0.250], [0.375, 0.625, 0.250], [0.375, 0.625, 0.750], [0.875, 0.625, 0.750], [0.000, 0.000, 0.000], [0.750, 0.250, 0.500]]
}

***

# 5
{
  "formula": "TiBr2O",
  "functional": "PBE",
  "state": "optimized geometry",
  "final_energy_ev_per_cell": -17.14,
  "dos_at_fermi_per_ev_atom": 0.11,
  "e_form_raw_ev_per_atom": -0.24,
  "lattice": [[2.038, 0.000, 7.348], [-1.019, 1.765, 7.348], [-1.019, -1.765, 7.348]],
  "species": ["O", "Br", "Br", "Ti"],
  "fractional_positions": [[0.000, 0.000, 0.000], [0.907, 0.907, 0.907], [0.093, 0.093, 0.093], [0.500, 0.500, 0.500]]
}

***

# 6
{
  "formula": "LiCrAs",
  "functional": "PBE",
  "state": "optimized geometry",
  "final_energy_ev_per_cell": -64.27,
  "e_form_ev_per_atom": 0.040,
  "dos_at_fermi_per_ev_atom": 0.21,
  "lattice": [[-0.854, -4.943, 0.468], [4.963, -0.834, 0.242], [-0.251, 0.785, 7.836]],
  "species": ["Cr", "Cr", "Cr", "Cr", "As", "As", "As", "As", "Li", "Li", "Li", "Li"],
  "fractional_positions": [[0.717, 0.717, 0.375], [0.283, 0.283, 0.875], [0.283, 0.717, 0.625], [0.717, 0.283, 0.125], [0.500, 0.861, 0.000], [0.500, 0.139, 0.500], [0.139, 0.500, 0.250], [0.861, 0.500, 0.750], [0.000, 0.770, 0.000], [0.000, 0.230, 0.500], [0.230, 0.000, 0.250], [0.770, 0.000, 0.750]]
}

***

# 7
{
  "formula": "K2ZrU2Se6",
  "functional": "PBE",
  "state": "optimized geometry",
  "final_energy_ev_per_cell": -68.45,
  "dos_at_fermi_per_ev_atom": 0.93,
  "e_form_raw_ev_per_atom": -1.29,
  "lattice": [[6.993, -0.004, 0.061], [-3.459, 6.077, 0.061], [-1.254, -2.155, 7.924]],
  "species": ["K", "K", "Zr", "U", "U", "Se", "Se", "Se", "Se", "Se", "Se"],
  "fractional_positions": [[0.832, 0.168, 0.000], [0.168, 0.832, 0.000], [0.000, 0.000, 0.500], [0.333, 0.667, 0.500], [0.667, 0.333, 0.500], [0.747, 0.747, 0.702], [0.070, 0.391, 0.703], [0.253, 0.253, 0.298], [0.391, 0.070, 0.703], [0.930, 0.609, 0.297], [0.609, 0.930, 0.297]]
}

***

# 8
{
  "formula": "Pm3Sm3TmS8",
  "functional": "PBE",
  "state": "optimized geometry",
  "final_energy_ev_per_cell": -96.79,
  "dos_at_fermi_per_ev_atom": 0.44,
  "e_form_raw_ev_per_atom": -2.06,
  "lattice": [[-3.670, 5.487, 4.526], [-3.687, -6.897, -1.705], [6.261, 0.061, 5.003]],
  "species": ["Pm", "Pm", "Pm", "Sm", "Sm", "Sm", "Tm", "S", "S", "S", "S", "S", "S", "S", "S"],
  "fractional_positions": [[0.000, 0.000, 0.000], [0.000, 0.500, 0.000], [0.500, 0.500, 0.000], [0.500, 0.000, 0.500], [0.500, 0.500, 0.500], [0.000, 0.500, 0.500], [0.000, 0.000, 0.500], [0.251, 0.501, 0.252], [0.749, 0.499, 0.748], [0.758, 0.516, 0.259], [0.242, 0.484, 0.741], [0.758, 0.001, 0.259], [0.242, 0.999, 0.741], [0.243, 0.001, 0.259], [0.757, 0.999, 0.741]]
}

***

# 9
{
  "formula": "TiMnSb",
  "functional": "PBE",
  "state": "optimized geometry",
  "final_energy_ev_per_cell": -21.51,
  "dos_at_fermi_per_ev_atom": 0.81,
  "e_form_raw_ev_per_atom": -0.11,
  "lattice": [[-2.300, 2.546, 0.553], [-0.703, -1.317, 3.138], [4.594, 1.807, -0.136]],
  "species": ["Sb", "Mn", "Ti"],
  "fractional_positions": [[0.284, 0.284, 0.569], [0.956, 0.956, 0.912], [0.609, 0.609, 0.219]]
}

***

# 10
{
  "formula": "BaMg2B",
  "functional": "PBE",
  "state": "optimized geometry",
  "final_energy_ev_per_cell": -19.79,
  "e_form_ev_per_atom": 0.473,
  "dos_at_fermi_per_ev_atom": 1.08,
  "lattice": [[7.044, 0.000, 0.000], [0.000, 7.044, 0.000], [3.522, 3.522, 5.070]],
  "species": ["Mg", "Mg", "Mg", "Mg", "B", "B", "Ba", "Ba"],
  "fractional_positions": [[0.375, 0.125, 0.250], [0.375, 0.625, 0.250], [0.375, 0.625, 0.750], [0.875, 0.625, 0.750], [0.500, 0.500, 0.000], [0.250, 0.750, 0.500], [0.000, 0.000, 0.000], [0.750, 0.250, 0.500]]
}

***

# 11
{
  "formula": "LaReW2",
  "functional": "PBE",
  "state": "optimized geometry",
  "final_energy_ev_per_cell": -40.53,
  "e_form_ev_per_atom": 0.688,
  "dos_at_fermi_per_ev_atom": 1.22,
  "lattice": [[-6.676, 3.460, -6.796], [-8.566, 2.785, -4.646], [-7.212, 5.396, -4.647]],
  "species": ["La", "Re", "W", "W"],
  "fractional_positions": [[0.250, 0.250, 0.250], [0.750, 0.750, 0.750], [0.012, 0.012, 0.012], [0.488, 0.488, 0.488]]
}

***

# 12
{
  "formula": "MnTc2NiH",
  "functional": "PBE",
  "state": "optimized geometry",
  "final_energy_ev_per_cell": -38.70,
  "dos_at_fermi_per_ev_atom": 1.00,
  "lattice": [[3.821, 0.000, 0.000], [0.000, 3.821, 0.000], [0.000, 0.000, 3.735]],
  "species": ["Ni", "Mn", "Tc", "Tc", "H"],
  "fractional_positions": [[0.500, 0.500, 0.500], [0.000, 0.000, 0.500], [0.000, 0.500, 0.000], [0.500, 0.000, 0.000], [0.000, 0.000, 0.000]]
}

***

Please write out number 7 again, unchanged.
{
  "formula": "K2ZrU2Se6",
  "functional": "PBE",
  "state": "optimized geometry",
  "final_energy_ev_per_cell": -68.45,
  "dos_at_fermi_per_ev_atom": 0.93,
  "e_form_raw_ev_per_atom": -1.29,
  "lattice": [[6.993, -0.004, 0.061], [-3.459, 6.077, 0.061], [-1.254, -2.155, 7.924]],
  "species": ["K", "K", "Zr", "U", "U", "Se", "Se", "Se", "Se", "Se", "Se"],
  "fractional_positions": [[0.832, 0.168, 0.000], [0.168, 0.832, 0.000], [0.000, 0.000, 0.500], [0.333, 0.667, 0.500], [0.667, 0.333, 0.500], [0.747, 0.747, 0.702], [0.070, 0.391, 0.703], [0.253, 0.253, 0.298], [0.391, 0.070, 0.703], [0.930, 0.609, 0.297], [0.609, 0.930, 0.297]]
}